No. 1
The following is a PBE calculation of a relaxed structure of K2CeNdS4, from Alexandria via LeMat-Bulk.

The structure in CIF format:
```
data_K2CeNdS4
_chemical_formula_sum 'K2 Ce1 Nd1 S4'
_space_group_name_H-M_alt 'P 1 2/m 1'
_space_group_IT_number 10
_cell_length_a 7.289
_cell_length_b 4.212
_cell_length_c 7.763
_cell_angle_alpha 90.00
_cell_angle_beta 108.24
_cell_angle_gamma 90.00
loop_
_space_group_symop_operation_xyz
'x,y,z'
'-x,-y,-z'
'-x,y,-z'
'x,-y,z'
loop_
_atom_site_label
_atom_site_type_symbol
_atom_site_fract_x
_atom_site_fract_y
_atom_site_fract_z
K1 K 0.000 0.000 0.000
K2 K 0.500 0.500 0.000
Ce1 Ce 0.000 0.500 0.500
Nd1 Nd 0.500 0.000 0.500
S1 S 0.235 0.000 0.706
S2 S 0.264 0.500 0.293
```

## Properties
- raw formation energy (kJ/mol of atoms) = -175.56
- total DFT energy (no corrections) (eV/atom) = -5.50



No. 2
The following is a PBE calculation of a relaxed structure of LaCo2P, from Alexandria via LeMat-Bulk.

The structure in CIF format:
```
data_LaCo2P
_chemical_formula_sum 'La2 Co4 P2'
_space_group_name_H-M_alt 'I -4 m 2'
_space_group_IT_number 119
_space_group_name_Hall 'I -4 -2'
_cell_length_a 3.826
_cell_length_b 3.826
_cell_length_c 8.951
_cell_angle_alpha 90.00
_cell_angle_beta 90.00
_cell_angle_gamma 90.00
loop_
_atom_site_label
_atom_site_type_symbol
_atom_site_fract_x
_atom_site_fract_y
_atom_site_fract_z
La1 La 0.000 0.000 0.000
Co1 Co 0.000 0.000 0.500
Co2 Co 0.000 0.500 0.250
P1 P 0.000 0.500 0.750
```

## Properties
- total DFT energy (no corrections) (eV/atom) = -6.03
- formation enthalpy at 0 K (kJ/mol of atoms) = 10.4



No. 3
The following is a PBE calculation of a relaxed structure of Rb2HgCF6, from Alexandria via LeMat-Bulk.

The structure in CIF format:
```
data_Rb2HgCF6
_chemical_formula_sum 'Rb8 Hg4 C4 F24'
_space_group_name_H-M_alt 'F m -3 m'
_space_group_IT_number 225
_space_group_name_Hall '-F 4 2 3'
_cell_length_a 8.602
_cell_length_b 8.602
_cell_length_c 8.602
_cell_angle_alpha 90.00
_cell_angle_beta 90.00
_cell_angle_gamma 90.00
loop_
_atom_site_label
_atom_site_type_symbol
_atom_site_fract_x
_atom_site_fract_y
_atom_site_fract_z
Rb1 Rb 0.250 0.250 0.250
Hg1 Hg 0.000 0.000 0.000
C1 C 0.000 0.000 0.500
F1 F 0.000 0.000 0.272
```

## Properties
- raw formation energy (kJ/mol of atoms) = -135.83
- total DFT energy (no corrections) (eV/atom) = -3.68



No. 4
The following is a PBE calculation of a relaxed structure of HgGeSe, from Alexandria via LeMat-Bulk.

The structure in CIF format:
```
data_HgGeSe
_chemical_formula_sum 'Hg2 Ge2 Se2'
_space_group_name_H-M_alt 'P 1 21/m 1'
_space_group_IT_number 11
_cell_length_a 4.010
_cell_length_b 4.011
_cell_length_c 10.306
_cell_angle_alpha 90.00
_cell_angle_beta 91.40
_cell_angle_gamma 90.00
loop_
_space_group_symop_operation_xyz
'x,y,z'
'-x,-y,-z'
'-x,y+1/2,-z'
'x,-y+1/2,z'
loop_
_atom_site_label
_atom_site_type_symbol
_atom_site_fract_x
_atom_site_fract_y
_atom_site_fract_z
Hg1 Hg 0.247 0.250 0.416
Ge1 Ge 0.251 0.250 0.120
Se1 Se 0.240 0.250 0.869
```

## Properties
- raw formation energy (kJ/mol of atoms) = -13.62
- total DFT energy (no corrections) (eV/atom) = -2.94
- polymorph energy (0 for the lowest one) (eV/atom) = 0.000



No. 5
The following is a PBE calculation of a relaxed structure of In3Pb2, from Alexandria via LeMat-Bulk.

The structure in CIF format:
```
data_In3Pb2
_chemical_formula_sum 'In18 Pb12'
_space_group_name_H-M_alt 'R -3 c'
_space_group_IT_number 167
_space_group_name_Hall '-R 3 2"c'
_cell_length_a 8.0575
_cell_length_b 8.0575
_cell_length_c 17.0040
_cell_angle_alpha 90.00
_cell_angle_beta 90.00
_cell_angle_gamma 120.00
loop_
_atom_site_label
_atom_site_type_symbol
_atom_site_fract_x
_atom_site_fract_y
_atom_site_fract_z
In1 In 0.0000 0.2439 0.2500
Pb1 Pb 0.0000 0.0000 0.0947
```

## Properties
- total DFT energy (no corrections) (eV/atom) = -3.01
- polymorph energy (0 for the lowest one) (eV/atom) = 0.098
- formation enthalpy at 0 K (kJ/mol of atoms) = 10.8



No. 6
The following is a PBE calculation of a relaxed structure of NpV2Zn, from Alexandria via LeMat-Bulk.

The structure in CIF format:
```
data_NpV2Zn
_chemical_formula_sum 'Np1 V2 Zn1'
_space_group_name_H-M_alt 'P 4/m m m'
_space_group_IT_number 123
_space_group_name_Hall '-P 4 2'
_cell_length_a 4.378
_cell_length_b 4.378
_cell_length_c 3.164
_cell_angle_alpha 90.00
_cell_angle_beta 90.00
_cell_angle_gamma 90.00
loop_
_atom_site_label
_atom_site_type_symbol
_atom_site_fract_x
_atom_site_fract_y
_atom_site_fract_z
Np1 Np 0.000 0.000 0.000
V1 V 0.000 0.500 0.500
Zn1 Zn 0.500 0.500 0.000
```

## Properties
- total DFT energy (no corrections) (eV/atom) = -7.88
- polymorph energy (0 for the lowest one) (eV/atom) = 0.000
- formation enthalpy at 0 K (kJ/mol of atoms) = 22.0



No. 7
The following is a PBE calculation of a relaxed structure of GaHg3I, from Alexandria via LeMat-Bulk.

The structure in CIF format:
```
data_GaHg3I
_chemical_formula_sum 'Ga2 Hg6 I2'
_space_group_name_H-M_alt 'P 1'
_space_group_IT_number 1
_cell_length_a 7.335
_cell_length_b 7.382
_cell_length_c 7.417
_cell_angle_alpha 119.31
_cell_angle_beta 104.87
_cell_angle_gamma 95.59
loop_
_space_group_symop_operation_xyz
'x,y,z'
loop_
_atom_site_label
_atom_site_type_symbol
_atom_site_fract_x
_atom_site_fract_y
_atom_site_fract_z
Ga1 Ga 0.000 0.000 0.000
Ga2 Ga 0.172 0.390 0.433
Hg1 Hg 0.171 0.049 0.713
Hg2 Hg 0.389 0.059 0.372
Hg3 Hg 0.391 0.730 0.879
Hg4 Hg 0.638 0.062 0.793
Hg5 Hg 0.799 0.003 0.323
Hg6 Hg 0.879 0.557 0.280
I1 I 0.403 0.518 0.235
I2 I 0.850 0.556 0.782
```

## Properties
- raw formation energy (kJ/mol of atoms) = -9.19
- total DFT energy (no corrections) (eV/atom) = -1.19
- polymorph energy (0 for the lowest one) (eV/atom) = 0.000



No. 8
The following is a PBE calculation of a relaxed structure of MnAg3Sn3S8, from Alexandria via LeMat-Bulk.

The structure in CIF format:
```
data_MnAg3Sn3S8
_chemical_formula_sum 'Mn2 Ag6 Sn6 S16'
_space_group_name_H-M_alt 'C 1 2/m 1'
_space_group_IT_number 12
_cell_length_a 13.079
_cell_length_b 7.549
_cell_length_c 7.797
_cell_angle_alpha 90.00
_cell_angle_beta 124.07
_cell_angle_gamma 90.00
loop_
_space_group_symop_operation_xyz
'x,y,z'
'-x,-y,-z'
'-x,y,-z'
'x,-y,z'
'x+1/2,y+1/2,z'
'-x+1/2,-y+1/2,-z'
'-x+1/2,y+1/2,-z'
'x+1/2,-y+1/2,z'
loop_
_atom_site_label
_atom_site_type_symbol
_atom_site_fract_x
_atom_site_fract_y
_atom_site_fract_z
Mn1 Mn 0.000 0.000 0.000
Ag1 Ag 0.000 0.000 0.500
Ag2 Ag 0.250 0.250 0.500
Sn1 Sn 0.000 0.500 0.000
Sn2 Sn 0.250 0.250 0.000
S1 S 0.002 0.220 0.787
S2 S 0.218 0.000 0.213
S3 S 0.249 0.000 0.747
```

## Properties
- raw formation energy (kJ/mol of atoms) = -29.59
- total DFT energy (no corrections) (eV/atom) = -4.49



No. 9
The following is a PBE calculation of a relaxed structure of SnBi2S4, from Alexandria via LeMat-Bulk.

The structure in CIF format:
```
data_SnBi2S4
_chemical_formula_sum 'Sn2 Bi4 S8'
_space_group_name_H-M_alt 'C 1 2/m 1'
_space_group_IT_number 12
_cell_length_a 15.437
_cell_length_b 4.053
_cell_length_c 7.051
_cell_angle_alpha 90.00
_cell_angle_beta 115.50
_cell_angle_gamma 90.00
loop_
_space_group_symop_operation_xyz
'x,y,z'
'-x,-y,-z'
'-x,y,-z'
'x,-y,z'
'x+1/2,y+1/2,z'
'-x+1/2,-y+1/2,-z'
'-x+1/2,y+1/2,-z'
'x+1/2,-y+1/2,z'
loop_
_atom_site_label
_atom_site_type_symbol
_atom_site_fract_x
_atom_site_fract_y
_atom_site_fract_z
Sn1 Sn 0.000 0.000 0.000
Bi1 Bi 0.234 0.500 0.725
S1 S 0.132 0.000 0.448
S2 S 0.136 0.500 0.996
```

## Properties
- raw formation energy (kJ/mol of atoms) = -33.17
- total DFT energy (no corrections) (eV/atom) = -4.38



No. 10
The following is a PBE calculation of a relaxed structure of NaCo2Au2, from Alexandria via LeMat-Bulk.

The structure in CIF format:
```
data_NaCo2Au2
_chemical_formula_sum 'Na2 Co4 Au4'
_space_group_name_H-M_alt 'P 4/m b m'
_space_group_IT_number 127
_space_group_name_Hall '-P 4 2ab'
_cell_length_a 7.788
_cell_length_b 7.788
_cell_length_c 2.730
_cell_angle_alpha 90.00
_cell_angle_beta 90.00
_cell_angle_gamma 90.00
loop_
_atom_site_label
_atom_site_type_symbol
_atom_site_fract_x
_atom_site_fract_y
_atom_site_fract_z
Na1 Na 0.000 0.000 0.000
Co1 Co 0.102 0.398 0.000
Au1 Au 0.191 0.691 0.500
```

## Properties
- total DFT energy (no corrections) (eV/atom) = -4.28
- formation enthalpy at 0 K (kJ/mol of atoms) = 12.9



No. 11
The following is a PBE calculation of a relaxed structure of LiAcPb3, from Alexandria via LeMat-Bulk.

The structure in CIF format:
```
data_LiAcPb3
_chemical_formula_sum 'Li2 Ac2 Pb6'
_space_group_name_H-M_alt 'P m m a'
_space_group_IT_number 51
_cell_length_a 8.376
_cell_length_b 4.766
_cell_length_c 8.031
_cell_angle_alpha 90.00
_cell_angle_beta 90.00
_cell_angle_gamma 90.00
loop_
_space_group_symop_operation_xyz
'x,y,z'
'-x,-y,-z'
'-x+1/2,-y,z'
'x+1/2,y,-z'
'x+1/2,-y,-z'
'-x+1/2,y,z'
'-x,y,-z'
'x,-y,z'
loop_
_atom_site_label
_atom_site_type_symbol
_atom_site_fract_x
_atom_site_fract_y
_atom_site_fract_z
Li1 Li 0.250 0.000 0.146
Ac1 Ac 0.250 0.000 0.606
Pb1 Pb 0.060 0.500 0.311
Pb2 Pb 0.250 0.500 0.932
```

## Properties
- total DFT energy (no corrections) (eV/atom) = -3.71
- polymorph energy (0 for the lowest one) (eV/atom) = 0.000
- formation enthalpy at 0 K (kJ/mol of atoms) = -27.1



No. 12
The following is a PBE calculation of a relaxed structure of SmGa8Cu2, from Alexandria via LeMat-Bulk.

The structure in CIF format:
```
data_SmGa8Cu2
_chemical_formula_sum 'Sm1 Ga8 Cu2'
_space_group_name_H-M_alt 'P 4/m m m'
_space_group_IT_number 123
_space_group_name_Hall '-P 4 2'
_cell_length_a 5.621
_cell_length_b 5.621
_cell_length_c 7.846
_cell_angle_alpha 90.00
_cell_angle_beta 90.00
_cell_angle_gamma 90.00
loop_
_atom_site_label
_atom_site_type_symbol
_atom_site_fract_x
_atom_site_fract_y
_atom_site_fract_z
Sm1 Sm 0.000 0.000 0.000
Ga1 Ga 0.253 0.253 0.300
Cu1 Cu 0.000 0.500 0.500
```

## Properties
- total DFT energy (no corrections) (eV/atom) = -3.34
- formation enthalpy at 0 K (kJ/mol of atoms) = 3.4



No. 13
The following is a PBE calculation of a relaxed structure of Pr4Sb2TePb, from Alexandria via LeMat-Bulk.

The structure in CIF format:
```
data_Pr4Sb2TePb
_chemical_formula_sum 'Pr4 Sb2 Te1 Pb1'
_space_group_name_H-M_alt 'P 1 2/m 1'
_space_group_IT_number 10
_cell_length_a 7.925
_cell_length_b 4.545
_cell_length_c 7.925
_cell_angle_alpha 90.00
_cell_angle_beta 109.19
_cell_angle_gamma 90.00
loop_
_space_group_symop_operation_xyz
'x,y,z'
'-x,-y,-z'
'-x,y,-z'
'x,-y,z'
loop_
_atom_site_label
_atom_site_type_symbol
_atom_site_fract_x
_atom_site_fract_y
_atom_site_fract_z
Pr1 Pr 0.244 0.000 0.245
Pr2 Pr 0.246 0.500 0.749
Sb1 Sb 0.000 0.000 0.500
Sb2 Sb 0.000 0.500 0.000
Te1 Te 0.500 0.500 0.500
Pb1 Pb 0.500 0.000 0.000
```

## Properties
- raw formation energy (kJ/mol of atoms) = -108.48
- total DFT energy (no corrections) (eV/atom) = -5.40



No. 14
The following is a PBE calculation of a relaxed structure of Tb4Sm5Sc4, from Alexandria via LeMat-Bulk.

The structure in CIF format:
```
data_Tb4Sm5Sc4
_chemical_formula_sum 'Tb8 Sm10 Sc8'
_space_group_name_H-M_alt 'I 4/m'
_space_group_IT_number 87
_space_group_name_Hall '-I 4'
_cell_length_a 12.602
_cell_length_b 12.602
_cell_length_c 4.939
_cell_angle_alpha 90.00
_cell_angle_beta 90.00
_cell_angle_gamma 90.00
loop_
_atom_site_label
_atom_site_type_symbol
_atom_site_fract_x
_atom_site_fract_y
_atom_site_fract_z
Tb1 Tb 0.078 0.382 0.000
Sm1 Sm 0.000 0.000 0.000
Sm2 Sm 0.043 0.193 0.500
Sc1 Sc 0.156 0.767 0.000
```

## Properties
- total DFT energy (no corrections) (eV/atom) = -5.14
- formation enthalpy at 0 K (kJ/mol of atoms) = 4.4



No. 15
The following is a PBE calculation of a relaxed structure of Na2Al3Ga5, from Alexandria via LeMat-Bulk.

The structure in CIF format:
```
data_Na2Al3Ga5
_chemical_formula_sum 'Na8 Al12 Ga20'
_space_group_name_H-M_alt 'I b a m'
_space_group_IT_number 72
_space_group_name_Hall '-I 2 2c'
_cell_length_a 11.432
_cell_length_b 11.965
_cell_length_c 6.039
_cell_angle_alpha 90.00
_cell_angle_beta 90.00
_cell_angle_gamma 90.00
loop_
_atom_site_label
_atom_site_type_symbol
_atom_site_fract_x
_atom_site_fract_y
_atom_site_fract_z
Na1 Na 0.246 0.125 0.000
Al1 Al 0.000 0.500 0.250
Al2 Al 0.136 0.128 0.500
Ga1 Ga 0.000 0.000 0.250
Ga2 Ga 0.000 0.256 0.250
Ga3 Ga 0.143 0.378 0.000
```

## Properties
- total DFT energy (no corrections) (eV/atom) = -2.99
- polymorph energy (0 for the lowest one) (eV/atom) = 0.000
- formation enthalpy at 0 K (kJ/mol of atoms) = -8.5



No. 16
The following is a PBE calculation of a relaxed structure of TlZnInPb, from Alexandria via LeMat-Bulk.

The structure in CIF format:
```
data_TlZnInPb
_chemical_formula_sum 'Tl4 Zn4 In4 Pb4'
_space_group_name_H-M_alt 'F -4 3 m'
_space_group_IT_number 216
_space_group_name_Hall 'F -4 2 3'
_cell_length_a 7.567
_cell_length_b 7.567
_cell_length_c 7.567
_cell_angle_alpha 90.00
_cell_angle_beta 90.00
_cell_angle_gamma 90.00
loop_
_atom_site_label
_atom_site_type_symbol
_atom_site_fract_x
_atom_site_fract_y
_atom_site_fract_z
Tl1 Tl 0.000 0.000 0.000
Zn1 Zn 0.250 0.250 0.250
In1 In 0.250 0.250 0.750
Pb1 Pb 0.000 0.000 0.500
```

## Properties
- total DFT energy (no corrections) (eV/atom) = -2.41
- formation enthalpy at 0 K (kJ/mol of atoms) = 10.5



No. 17
The following is a PBE calculation of a relaxed structure of BaTi2Co2, from Alexandria via LeMat-Bulk.

The structure in CIF format:
```
data_BaTi2Co2
_chemical_formula_sum 'Ba2 Ti4 Co4'
_space_group_name_H-M_alt 'P 4/m b m'
_space_group_IT_number 127
_space_group_name_Hall '-P 4 2ab'
_cell_length_a 7.872
_cell_length_b 7.872
_cell_length_c 3.054
_cell_angle_alpha 90.00
_cell_angle_beta 90.00
_cell_angle_gamma 90.00
loop_
_atom_site_label
_atom_site_type_symbol
_atom_site_fract_x
_atom_site_fract_y
_atom_site_fract_z
Ba1 Ba 0.000 0.000 0.000
Ti1 Ti 0.128 0.372 0.500
Co1 Co 0.120 0.620 0.000
```

## Properties
- total DFT energy (no corrections) (eV/atom) = -6.09
- polymorph energy (0 for the lowest one) (eV/atom) = 0.240
- formation enthalpy at 0 K (kJ/mol of atoms) = 28.2